[1]
# KFeSn3O8 GGA-PBEsol optimized geometry
data_KFeSn3O8
_symmetry_space_group_name_H-M 'C 1 m 1'
_symmetry_Int_Tables_number 8
_cell_length_a 14.471
_cell_length_b 3.156
_cell_length_c 10.135
_cell_angle_alpha 90.00
_cell_angle_beta 133.97
_cell_angle_gamma 90.00
loop_
_symmetry_equiv_pos_as_xyz
'x,y,z'
'x,-y,z'
'x+1/2,y+1/2,z'
'x+1/2,-y+1/2,z'
loop_
_atom_site_label
_atom_site_type_symbol
_atom_site_fract_x
_atom_site_fract_y
_atom_site_fract_z
K1 K 0.000 0.000 0.000
Fe1 Fe 0.133 0.000 0.444
Sn1 Sn 0.150 0.500 0.767
Sn2 Sn 0.328 0.500 0.487
Sn3 Sn 0.331 0.000 0.155
O1 O 0.026 0.000 0.681
O2 O 0.131 0.500 0.552
O3 O 0.133 0.500 0.322
O4 O 0.195 0.500 0.017
O5 O 0.286 0.000 0.905
O6 O 0.319 0.000 0.612
O7 O 0.323 0.000 0.347
O8 O 0.453 0.500 0.254
# DOS(E_F)   2.58 states/eV/f.u.
# Raw total energy   -170.7 eV for the cell shown

***

[2]
# K3FeOs GGA-PBEsol optimized geometry
data_K3FeOs
_symmetry_space_group_name_H-M 'P m -3 m'
_symmetry_Int_Tables_number 221
_symmetry_space_group_name_Hall '-P 4 2 3'
_cell_length_a 6.023
_cell_length_b 6.023
_cell_length_c 6.023
_cell_angle_alpha 90.00
_cell_angle_beta 90.00
_cell_angle_gamma 90.00
loop_
_atom_site_label
_atom_site_type_symbol
_atom_site_fract_x
_atom_site_fract_y
_atom_site_fract_z
K1 K 0.000 0.000 0.500
Fe1 Fe 0.500 0.500 0.500
Os1 Os 0.000 0.000 0.000
# DOS(E_F)   7.85 states/eV/f.u.
# DFT formation energy   2015 meV/atom
# Raw total energy   -14.5 eV for the cell shown

***

The ρ results, record by record, are as follows: 5.8 2.8 Mg/m³.